Entry 1:
# YTe2W

A PBEsol-optimized structure of YTe2W (SCAN, Alexandria).

- excess energy over the best structure of this formula in the dataset (meV/atom) = 0.0

abc: 4.9458 4.9458 3.4947
angles: 90.00 90.00 90.00
Closest atoms and distances in Å follow each position.
Space group P4/mmm (No. 123)
Symmetry-distinct sites (fractional):
Y 0.0000 0.0000 0.0000 (multiplicity 1)  8 Te 3.03
Te 0.0000 0.5000 0.5000 (multiplicity 2)  4 W 3.03, 4 Y 3.03
W 0.5000 0.5000 0.0000 (multiplicity 1)  8 Te 3.03

Entry 2:
# YTe3W

A PBEsol-optimized structure of YTe3W (SCAN, Alexandria).

- E_tot (eV/atom) = -41.58

abc: 5.2671 5.2671 5.2671
angles: 90.00 90.00 90.00
Closest atoms and distances in Å follow each position.
Space group Pm-3m (No. 221)
Symmetry-distinct sites (fractional):
Y 0.0000 0.0000 0.0000 (multiplicity 1)  12 Te 3.72
Te 0.0000 0.5000 0.5000 (multiplicity 3)  2 W 2.63
W 0.5000 0.5000 0.5000 (multiplicity 1)  6 Te 2.63

Entry 3:
# YTeW2

A PBEsol-optimized structure of YTeW2 (SCAN, Alexandria).

- E_tot (eV/atom) = -50.49

abc: 4.4242 4.4242 7.8192
angles: 90.00 90.00 90.00
Closest atoms and distances in Å follow each position.
Space group I-4m2 (No. 119)
Symmetry-distinct sites (fractional):
Y 0.0000 0.0000 0.0000 (multiplicity 2)  8 W 2.95-3.13, 4 Te 2.95
Te 0.0000 0.5000 0.7500 (multiplicity 2)  4 Y 2.95, 8 W 2.95-3.13
W 0.0000 0.0000 0.5000 (multiplicity 2)  4 W 2.95, 4 Te 2.95, 4 Y 3.13
W 0.0000 0.5000 0.2500 (multiplicity 2)  4 W 2.95, 4 Y 2.95, 4 Te 3.13

Entry 4:
# YTeW2

A PBEsol-optimized structure of YTeW2 (SCAN, Alexandria).

- E_tot (eV/atom) = -50.57

abc: 3.9383 3.9383 10.1381
angles: 90.00 90.00 90.00
Closest atoms and distances in Å follow each position.
Space group I4/mmm (No. 139)
Symmetry-distinct sites (fractional):
Y 0.0000 0.0000 0.0000 (multiplicity 2)  4 Te 2.78
Te 0.0000 0.0000 0.5000 (multiplicity 2)  4 Y 2.78
W 0.0000 0.5000 0.2500 (multiplicity 4)  4 W 2.78

Entry 5:
# YTeW2

A PBEsol-optimized structure of YTeW2 (SCAN, Alexandria).

- E_tot (eV/atom) = -50.75

abc: 3.2770 4.4021 5.6270
angles: 90.00 97.88 90.00
Closest atoms and distances in Å follow each position.
Space group Pm (No. 6)
Symmetry-distinct sites (fractional):
Y 0.0000 0.0000 0.0000 (multiplicity 1)  3 W 2.83-3.03, 4 Te 2.99-3.02
Te 0.5617 0.5000 0.2196 (multiplicity 1)  4 W 2.80-2.94, 4 Y 2.99-3.02
W 0.3138 0.5000 0.7017 (multiplicity 1)  2 W 2.60
W 0.5736 0.0000 0.5277 (multiplicity 1)  2 W 2.60, 2 Te 2.80, 1 Y 2.83

Entry 6:
# ZnTeW2

A PBEsol-optimized structure of ZnTeW2 (SCAN, Alexandria).

- excess energy over the best structure of this formula in the dataset (meV/atom) = 114.6

abc: 6.4706 6.4706 6.4706
angles: 90.00 90.00 90.00
Closest atoms and distances in Å follow each position.
Space group F-43m (No. 216)
Symmetry-distinct sites (fractional):
Zn 0.0000 0.0000 0.0000 (multiplicity 4)  4 W 2.80, 4 Te 2.80
Te 0.2500 0.2500 0.2500 (multiplicity 4)  4 W 2.80, 4 Zn 2.80
W 0.0000 0.0000 0.5000 (multiplicity 4)  4 Te 2.80, 4 W 2.80
W 0.2500 0.2500 0.7500 (multiplicity 4)  4 W 2.80, 4 Zn 2.80

Entry 7:
# ZnTeW2

A PBEsol-optimized structure of ZnTeW2 (SCAN, Alexandria).

- excess energy over the best structure of this formula in the dataset (meV/atom) = 44.2

abc: 3.0887 4.6479 5.1327
angles: 90.00 104.98 90.00
Closest atoms and distances in Å follow each position.
Space group Pm (No. 6)
Symmetry-distinct sites (fractional):
Zn 0.0000 0.0000 0.0000 (multiplicity 1)  5 W 2.61-2.81, 2 Te 2.68
Te 0.2654 0.5000 0.2494 (multiplicity 1)  5 W 2.64-2.81, 2 Zn 2.68
W 0.3395 0.0000 0.5642 (multiplicity 1)  3 Zn 2.61-2.81, 2 W 2.77, 2 Te 2.81
W 0.9423 0.5000 0.6862 (multiplicity 1)  3 Te 2.64-2.80, 4 W 2.77-2.94, 2 Zn 2.81

Entry 8:
# ZnTe4W

A PBEsol-optimized structure of ZnTe4W (SCAN, Alexandria).

- E_tot (eV/atom) = -37.30

abc: 8.6784 8.6784 8.6784
angles: 90.00 90.00 90.00
Closest atoms and distances in Å follow each position.
Space group F-43m (No. 216)
Symmetry-distinct sites (fractional):
Zn 0.0000 0.0000 0.0000 (multiplicity 4)  12 Te 3.60, 4 W 3.76
Te 0.1244 0.1244 0.3756 (multiplicity 16)  6 Te 3.05-3.08
W 0.2500 0.2500 0.7500 (multiplicity 4)  12 Te 3.60, 4 Zn 3.76

Entry 9:
# ZnTe2W

A PBEsol-optimized structure of ZnTe2W (SCAN, Alexandria).

- E_tot (eV/atom) = -38.35

abc: 3.4395 3.4395 26.3988
angles: 90.00 90.00 120.00
Closest atoms and distances in Å follow each position.
Space group R-3m (No. 166, hexagonal axes)
Symmetry-distinct sites (fractional):
Zn 0.0000 0.0000 0.0000 (multiplicity 3)  6 Te 2.70
Te 0.0000 0.0000 0.4028 (multiplicity 6)  1 W 2.57, 3 Zn 2.70
W 0.0000 0.0000 0.5000 (multiplicity 3)  2 Te 2.57

Entry 10:
# ZnTeW2

A PBEsol-optimized structure of ZnTeW2 (SCAN, Alexandria).

- excess energy over the best structure of this formula in the dataset (meV/atom) = 0.0

abc: 9.0755 3.2374 4.6934
angles: 90.00 97.57 90.00
Closest atoms and distances in Å follow each position.
Space group C2/m (No. 12)
Symmetry-distinct sites (fractional):
Zn 0.0000 0.0000 0.0000 (multiplicity 2)  6 W 2.64-2.84, 4 Te 2.85
Te 0.0000 0.5000 0.5000 (multiplicity 2)  6 W 2.75-2.97, 4 Zn 2.85
W 0.2468 0.5000 0.2183 (multiplicity 4)  2 W 2.62, 3 Zn 2.64-2.84, 1 Te 2.75

Entry 11:
# ZnTe2W

A PBEsol-optimized structure of ZnTe2W (SCAN, Alexandria).

- E_tot (eV/atom) = -38.98

abc: 3.2701 3.2701 7.9831
angles: 90.00 90.00 90.00
Closest atoms and distances in Å follow each position.
Space group P4/mmm (No. 123)
Symmetry-distinct sites (fractional):
Zn 0.0000 0.0000 0.0000 (multiplicity 1)  4 Zn 3.27, 8 Te 3.28
Te 0.5000 0.5000 0.2922 (multiplicity 2)  4 W 2.85
W 0.0000 0.0000 0.5000 (multiplicity 1)  8 Te 2.85

Entry 12:
# ZnTeW2

A PBEsol-optimized structure of ZnTeW2 (SCAN, Alexandria).

- excess energy over the best structure of this formula in the dataset (meV/atom) = 311.3

abc: 3.9360 3.9360 8.6735
angles: 90.00 90.00 90.00
Closest atoms and distances in Å follow each position.
Space group I4/mmm (No. 139)
Symmetry-distinct sites (fractional):
Zn 0.0000 0.0000 0.0000 (multiplicity 2)  4 Te 2.78, 8 W 2.93
Te 0.0000 0.0000 0.5000 (multiplicity 2)  4 Zn 2.78, 8 W 2.93
W 0.0000 0.5000 0.2500 (multiplicity 4)  4 W 2.78, 4 Te 2.93, 4 Zn 2.93

Entry 13:
# ZnTeW2

A PBEsol-optimized structure of ZnTeW2 (SCAN, Alexandria).

- excess energy over the best structure of this formula in the dataset (meV/atom) = 145.8

abc: 4.0467 4.0467 8.0688
angles: 90.00 90.00 90.00
Closest atoms and distances in Å follow each position.
Space group I-4m2 (No. 119)
Symmetry-distinct sites (fractional):
Zn 0.0000 0.0000 0.0000 (multiplicity 2)  8 W 2.86, 4 Te 2.86
Te 0.0000 0.5000 0.2500 (multiplicity 2)  8 W 2.86, 4 Zn 2.86
W 0.0000 0.0000 0.5000 (multiplicity 2)  4 W 2.86, 4 Te 2.86, 4 Zn 2.86
W 0.0000 0.5000 0.7500 (multiplicity 2)  4 W 2.86, 4 Zn 2.86, 4 Te 2.86

Entry 14:
# ZnTe2W

A PBEsol-optimized structure of ZnTe2W (SCAN, Alexandria).

- E_tot (eV/atom) = -39.05

abc: 3.3749 3.3749 7.3402
angles: 90.00 90.00 90.00
Closest atoms and distances in Å follow each position.
Space group P4mm (No. 99)
Symmetry-distinct sites (fractional):
Zn 0.0000 0.0000 0.0000 (multiplicity 1)  4 W 2.73, 5 Te 2.83-2.84
Te 0.0000 0.0000 0.6127 (multiplicity 1)  4 W 2.83, 1 Zn 2.84
Te 0.5000 0.5000 0.2080 (multiplicity 1)  4 Zn 2.83, 1 W 2.85
W 0.5000 0.5000 0.8200 (multiplicity 1)  4 Zn 2.73, 5 Te 2.83-2.85

Entry 15:
# ZrTeW2

A PBEsol-optimized structure of ZrTeW2 (SCAN, Alexandria).

- excess energy over the best structure of this formula in the dataset (meV/atom) = 79.2

abc: 2.9983 4.9014 5.0692
angles: 90.00 90.71 90.00
Closest atoms and distances in Å follow each position.
Space group P2/m (No. 10)
Symmetry-distinct sites (fractional):
Zr 0.0000 0.0000 0.0000 (multiplicity 1)  4 Te 2.93-2.96, 4 W 2.93, 2 Zr 3.00
Te 0.5000 0.0000 0.5000 (multiplicity 1)  4 W 2.81, 4 Zr 2.93-2.96, 2 Te 3.00
W 0.3547 0.5000 0.2398 (multiplicity 2)  2 W 2.59-2.77, 2 Te 2.81

Entry 16:
# ZrTeW2

A PBEsol-optimized structure of ZrTeW2 (SCAN, Alexandria).

- excess energy over the best structure of this formula in the dataset (meV/atom) = 0.0

abc: 3.4233 4.6264 9.1032
angles: 90.00 90.00 90.00
Closest atoms and distances in Å follow each position.
Space group Imm2 (No. 44)
Symmetry-distinct sites (fractional):
Zr 0.0000 0.0000 0.0000 (multiplicity 2)  8 W 2.88-3.19, 4 Te 2.95-3.16
Te 0.0000 0.5000 0.7639 (multiplicity 2)  6 W 2.84-2.89, 4 Zr 2.95-3.16
W 0.0000 0.0000 0.5124 (multiplicity 2)  2 W 2.69, 2 Te 2.84, 4 Zr 2.88
W 0.0000 0.5000 0.2406 (multiplicity 2)  2 W 2.69, 4 Te 2.89, 2 Zr 2.92

Entry 17:
# ZrTeW2

A PBEsol-optimized structure of ZrTeW2 (SCAN, Alexandria).

- excess energy over the best structure of this formula in the dataset (meV/atom) = 43.0

abc: 3.8856 3.8856 9.6765
angles: 90.00 90.00 90.00
Closest atoms and distances in Å follow each position.
Space group I4/mmm (No. 139)
Symmetry-distinct sites (fractional):
Zr 0.0000 0.0000 0.0000 (multiplicity 2)  4 Te 2.75
Te 0.0000 0.0000 0.5000 (multiplicity 2)  4 Zr 2.75
W 0.0000 0.5000 0.2500 (multiplicity 4)  4 W 2.75

Entry 18:
# Y4Te

A PBEsol-optimized structure of Y4Te (SCAN, Alexandria).

- E_tot (eV/atom) = -29.81

abc: 6.9515 6.9515 6.9515
angles: 90.00 90.00 90.00
Closest atoms and distances in Å follow each position.
Space group Im-3m (No. 229)
Symmetry-distinct sites (fractional):
Y 0.2500 0.2500 0.2500 (multiplicity 8)  2 Te 3.01
Te 0.0000 0.0000 0.0000 (multiplicity 2)  8 Y 3.01

Entry 19:
# Y2Te3

A PBEsol-optimized structure of Y2Te3 (SCAN, Alexandria).

- E_tot (eV/atom) = -35.02

abc: 4.2968 4.2968 30.9816
angles: 90.00 90.00 120.00
Closest atoms and distances in Å follow each position.
Space group R-3m (No. 166, hexagonal axes)
Symmetry-distinct sites (fractional):
Y 0.0000 0.0000 0.1030 (multiplicity 6)  6 Te 2.95-3.17
Te 0.0000 0.0000 0.2820 (multiplicity 6)  3 Y 2.95
Te 0.0000 0.0000 0.5000 (multiplicity 3)  6 Y 3.17

Entry 20:
# Y3Te

A PBEsol-optimized structure of Y3Te (SCAN, Alexandria).

- excess energy over the best structure of this formula in the dataset (meV/atom) = 143.4

abc: 3.7415 10.2605 5.8631
angles: 90.00 90.00 90.00
Closest atoms and distances in Å follow each position.
Space group Imm2 (No. 44)
Symmetry-distinct sites (fractional):
Y 0.0000 0.0000 0.0000 (multiplicity 2)  2 Te 3.10, 2 Y 3.22
Y 0.0000 0.2220 0.6124 (multiplicity 4)  3 Te 3.15-3.38, 7 Y 3.22-3.52
Te 0.0000 0.5000 0.9212 (multiplicity 2)  8 Y 3.10-3.38

Entry 21:
# Y2Te

A PBEsol-optimized structure of Y2Te (SCAN, Alexandria).

- E_tot (eV/atom) = -31.87

abc: 7.0204 7.0204 6.9048
angles: 90.00 90.00 90.00
Closest atoms and distances in Å follow each position.
Space group I4/mcm (No. 140)
Symmetry-distinct sites (fractional):
Y 0.1662 0.3338 0.0000 (multiplicity 8)  4 Te 3.14, 1 Y 3.30
Te 0.0000 0.0000 0.2500 (multiplicity 4)  8 Y 3.14, 2 Te 3.45

Entry 22:
# YTe3

A PBEsol-optimized structure of YTe3 (SCAN, Alexandria).

- E_tot (eV/atom) = -35.60

abc: 4.1861 6.0774 4.5367
angles: 90.00 90.00 90.00
Closest atoms and distances in Å follow each position.
Space group Pmm2 (No. 25)
Symmetry-distinct sites (fractional):
Y 0.0000 0.0000 0.0000 (multiplicity 1)  4 Te 2.99-3.19
Te 0.0000 0.5000 0.6848 (multiplicity 1)  4 Te 3.04-3.13, 2 Y 3.36
Te 0.5000 0.0000 0.5295 (multiplicity 1)  4 Y 2.99-3.19
Te 0.5000 0.5000 0.1706 (multiplicity 1)  4 Te 3.04-3.13

Entry 23:
# Y4Te3

A PBEsol-optimized structure of Y4Te3 (SCAN, Alexandria).

- E_tot (eV/atom) = -32.99

abc: 4.0517 4.0517 23.4285
angles: 90.00 90.00 90.00
Closest atoms and distances in Å follow each position.
Space group I4/mmm (No. 139)
Symmetry-distinct sites (fractional):
Y 0.0000 0.0000 0.0691 (multiplicity 4)  5 Te 3.04-3.29, 1 Y 3.24
Y 0.0000 0.0000 0.3407 (multiplicity 4)  5 Te 3.01-3.33
Te 0.0000 0.0000 0.1988 (multiplicity 4)  6 Y 3.01-3.33
Te 0.0000 0.0000 0.5000 (multiplicity 2)  8 Y 3.29

Entry 24:
# Y2Te

A PBEsol-optimized structure of Y2Te (SCAN, Alexandria).

- E_tot (eV/atom) = -31.54

abc: 5.0573 5.0573 3.9273
angles: 90.00 90.00 120.00
Closest atoms and distances in Å follow each position.
Space group P-3m1 (No. 164)
Symmetry-distinct sites (fractional):
Y 0.3333 0.6667 0.2552 (multiplicity 2)  3 Te 3.07
Te 0.0000 0.0000 0.5000 (multiplicity 1)  6 Y 3.07

Entry 25:
# Y3Te

A PBEsol-optimized structure of Y3Te (SCAN, Alexandria).

- excess energy over the best structure of this formula in the dataset (meV/atom) = 0.0

abc: 7.3584 9.7113 6.3655
angles: 90.00 90.00 90.00
Closest atoms and distances in Å follow each position.
Space group Pnma (No. 62)
Symmetry-distinct sites (fractional):
Y 0.0184 0.2500 0.1389 (multiplicity 4)  2 Te 3.09-3.11
Y 0.1978 0.0387 0.6237 (multiplicity 8)  3 Te 3.04-3.20, 3 Y 3.36-3.39
Te 0.1131 0.7500 0.4008 (multiplicity 4)  8 Y 3.04-3.20

Entry 26:
# Y5Te

A PBEsol-optimized structure of Y5Te (SCAN, Alexandria).

- excess energy over the best structure of this formula in the dataset (meV/atom) = 12.8

abc: 12.0564 3.7227 8.0110
angles: 90.00 104.18 90.00
Closest atoms and distances in Å follow each position.
Space group Cm (No. 8)
Symmetry-distinct sites (fractional):
Y 0.0000 0.0000 0.0000 (multiplicity 2)  8 Y 3.27-3.46
Y 0.0105 0.0000 0.5966 (multiplicity 2)  3 Te 3.17-3.49, 5 Y 3.27-3.51
Y 0.1572 0.5000 0.3392 (multiplicity 2)  2 Te 3.19, 7 Y 3.35-3.55
Y 0.2149 0.5000 0.8928 (multiplicity 2)  2 Te 3.17, 5 Y 3.33-3.51
Y 0.3712 0.0000 0.2575 (multiplicity 2)  1 Te 3.30, 9 Y 3.35-3.59
Te 0.3051 0.0000 0.6340 (multiplicity 2)  8 Y 3.17-3.49

Entry 27:
# YTe5

A PBEsol-optimized structure of YTe5 (SCAN, Alexandria).

- E_tot (eV/atom) = -36.03

abc: 3.8658 3.8658 11.0124
angles: 90.00 90.00 90.00
Closest atoms and distances in Å follow each position.
Space group P4/mmm (No. 123)
Symmetry-distinct sites (fractional):
Y 0.0000 0.0000 0.0000 (multiplicity 1)  8 Te 3.16
Te 0.0000 0.0000 0.3415 (multiplicity 2)  9 Te 3.24-3.49
Te 0.5000 0.5000 0.1438 (multiplicity 2)  4 Y 3.16, 5 Te 3.17-3.49
Te 0.5000 0.5000 0.5000 (multiplicity 1)  8 Te 3.24

Entry 28:
# Y2Te

A PBEsol-optimized structure of Y2Te (SCAN, Alexandria).

- E_tot (eV/atom) = -31.91

abc: 3.9527 15.3372 5.9523
angles: 90.00 90.00 90.00
Closest atoms and distances in Å follow each position.
Space group Cmcm (No. 63)
Symmetry-distinct sites (fractional):
Y 0.0000 0.0538 0.2500 (multiplicity 4)  2 Te 3.02
Y 0.0000 0.3566 0.2500 (multiplicity 4)  4 Te 3.08-3.11
Te 0.0000 0.2975 0.7500 (multiplicity 4)  6 Y 3.02-3.11

Entry 29:
# Y2Te

A PBEsol-optimized structure of Y2Te (SCAN, Alexandria).

- E_tot (eV/atom) = -31.87

abc: 11.4052 3.8129 7.7034
angles: 90.00 97.14 90.00
Closest atoms and distances in Å follow each position.
Space group Cm (No. 8)
Symmetry-distinct sites (fractional):
Y 0.0000 0.0000 0.0000 (multiplicity 2)  3 Y 3.07-3.38, 4 Te 3.10-3.32
Y 0.0675 0.0000 0.5725 (multiplicity 2)  5 Te 3.07-3.39
Y 0.2301 0.5000 0.9131 (multiplicity 2)  3 Y 3.07-3.38, 3 Te 3.13-3.22
Y 0.3404 0.0000 0.2826 (multiplicity 2)  4 Te 3.06-3.24
Te 0.1247 0.5000 0.2823 (multiplicity 2)  8 Y 3.07-3.24
Te 0.3645 0.0000 0.6831 (multiplicity 2)  8 Y 3.06-3.39